The following is a PBE calculation of an optimized crystal structure of NaCaCrN3, from the Alexandria database.

Cell: 5.7386 10.4213 5.2774 Å, 90.00 105.15 90.00°
Last column: nearest neighbours and their distance in Å.
Space group C2/c (No. 15)
One atom of each set of equivalent atoms:
1 Na 0.0000 0.0731 0.2500 (multiplicity 4)  5 N 2.29-2.34
2 Ca 0.0000 0.2460 0.7500 (multiplicity 4)  6 N 2.52-2.75
3 Cr 0.0000 0.4578 0.2500 (multiplicity 4)  3 N 1.72-1.77
4 N 0.0000 0.2925 0.2500 (multiplicity 4)  1 Cr 1.72
5 N 0.2070 0.4440 0.9759 (multiplicity 8)  1 Cr 1.77

Computed properties:
Electronic total energy = -0.2483 Ha/atom
Total moment = 0.000 μB per atom
Energy relative to the elements, uncorrected = -436.5 meV/atom